(1)
VASP calculation (PBE) on a geometry-optimized Ac2UN4 structure.

Computed properties:
- Theoretical density: 9.05 Mg/m³
- Polymorph energy (0 for the lowest one): 276.0 meV/atom
- E_tot: -8.6166 eV/atom

```
Ac2UN4
1.0
6.6473 0.0000 0.0000
0.0000 6.3199 0.0000
-3.1015 0.0000 6.5363
Ac U N
4 2 8
Direct
0.1040 0.2500 0.1710
0.2204 0.7500 0.5213
0.7796 0.2500 0.4787
0.8960 0.7500 0.8290
0.3800 0.2500 0.8295
0.6200 0.7500 0.1705
0.1093 0.0277 0.7539
0.1093 0.4723 0.7539
0.3867 0.2500 0.5563
0.4473 0.2500 0.1201
0.5527 0.7500 0.8799
0.6133 0.7500 0.4437
0.8907 0.5277 0.2461
0.8907 0.9723 0.2461
```

=====

(2)
VASP calculation (PBE) on a geometry-optimized Sm2YCu9 structure.

Computed properties:
- Theoretical density: 8.15 Mg/m³
- E_tot: -4.5668 eV/atom

```
Sm2YCu9
1.0
2.5913 1.4961 8.4198
-2.5913 1.4961 8.4198
0.0000 -2.9922 8.4198
Sm Y Cu
2 1 9
Direct
0.1411 0.1411 0.1411
0.8589 0.8589 0.8589
0.0000 0.0000 0.0000
0.0827 0.5797 0.5797
0.3321 0.3321 0.3321
0.4203 0.4203 0.9173
0.4203 0.9173 0.4203
0.5000 0.5000 0.5000
0.5797 0.0827 0.5797
0.5797 0.5797 0.0827
0.6679 0.6679 0.6679
0.9173 0.4203 0.4203
```

=====

(3)
VASP calculation (PBE) on a geometry-optimized DyPaRu structure.

Computed properties:
- Theoretical density: 10.47 Mg/m³
- Polymorph energy (0 for the lowest one): 282.1 meV/atom
- E_tot: -7.8238 eV/atom

```
DyPaRu
1.0
4.3498 0.0000 0.0000
-2.1749 3.7670 0.0000
0.0000 0.0000 4.7868
Dy Pa Ru
1 1 1
Direct
0.0000 0.0000 0.0000
0.6667 0.3333 0.5000
0.3333 0.6667 0.5000
```

=====

(4)
VASP calculation (PBE) on a geometry-optimized YAgS2 structure.

Computed properties:
- Theoretical density: 4.20 Mg/m³
- E_tot: -5.0594 eV/atom

```
YAgS2
1.0
2.0371 -9.5201 0.0000
2.0371 9.5201 0.0000
0.0000 0.0000 5.3152
Y Ag S
2 2 4
Direct
0.0822 0.9178 0.7500
0.9178 0.0822 0.2500
0.3385 0.6615 0.7500
0.6615 0.3385 0.2500
0.0655 0.9345 0.2500
0.2097 0.7903 0.7500
0.7903 0.2097 0.2500
0.9345 0.0655 0.7500
```

=====

(5)
VASP calculation (PBE) on a geometry-optimized TbPm3Hg6 structure.

Computed properties:
- Theoretical density: 11.29 Mg/m³
- E_tot: -2.5048 eV/atom

```
TbPm3Hg6
1.0
9.3910 0.0000 0.0000
0.0000 5.2077 0.0000
-3.1360 0.0000 10.8070
Tb Pm Hg
2 6 12
Direct
0.0610 0.2500 0.3916
0.9390 0.7500 0.6084
0.2265 0.2500 0.0079
0.3530 0.7500 0.7919
0.4890 0.2500 0.6138
0.5110 0.7500 0.3862
0.6470 0.2500 0.2081
0.7735 0.7500 0.9921
0.0611 0.7500 0.8914
0.1407 0.7500 0.1940
0.1544 0.2500 0.6863
0.2344 0.7500 0.5033
0.3395 0.2500 0.2982
0.4632 0.7500 0.0874
0.5368 0.2500 0.9126
0.6605 0.7500 0.7018
0.7656 0.2500 0.4967
0.8456 0.7500 0.3137
0.8592 0.2500 0.8060
0.9389 0.2500 0.1086
```

=====

(6)
VASP calculation (PBE) on a geometry-optimized PAuC2 structure.

Computed properties:
- Theoretical density: 6.44 Mg/m³
- E_tot: -5.9449 eV/atom

```
PAuC2
1.0
6.2218 -1.4708 0.0000
6.2218 1.4708 0.0000
-1.0468 0.0000 3.5485
P Au C
1 1 2
Direct
0.0000 0.0000 0.0000
0.1314 0.1314 0.6163
0.2985 0.2985 0.8044
0.4085 0.4085 0.9117
```

=====

(7)
VASP calculation (PBE) on a geometry-optimized GeAs2SeS structure.

Computed properties:
- Theoretical density: 4.88 Mg/m³
- Polymorph energy (0 for the lowest one): 0.0 meV/atom
- E_tot: -3.6115 eV/atom

```
GeAs2SeS
1.0
4.8369 0.0000 0.0000
0.0000 4.8369 0.0000
0.0000 0.0000 4.8477
Ge As Se S
1 2 1 1
Direct
0.0000 0.0000 0.0000
0.0000 0.5000 0.5000
0.5000 0.0000 0.5000
0.5000 0.5000 0.0000
0.5000 0.5000 0.5000
```

=====

(8)
VASP calculation (PBE) on a geometry-optimized Sc4SiP structure.

Computed properties:
- Theoretical density: 3.27 Mg/m³
- E_tot: -5.7860 eV/atom

```
Sc4SiP
1.0
0.0000 3.9278 3.9278
3.9278 0.0000 3.9278
3.9278 3.9278 0.0000
Sc Si P
4 1 1
Direct
0.1245 0.1245 0.1245
0.1245 0.1245 0.6265
0.1245 0.6265 0.1245
0.6265 0.1245 0.1245
0.7500 0.7500 0.7500
0.5000 0.5000 0.5000
```

=====

(9)
VASP calculation (PBE) on a geometry-optimized NiCl structure.

Computed properties:
- Theoretical density: 4.92 Mg/m³
- E_tot: -3.1172 eV/atom

```
NiCl
1.0
0.0000 3.1669 3.1669
3.1669 0.0000 3.1669
3.1669 3.1669 0.0000
Ni Cl
2 2
Direct
0.1250 0.1250 0.1250
0.8750 0.8750 0.8750
0.3750 0.3750 0.3750
0.6250 0.6250 0.6250
```

=====

(10)
VASP calculation (PBE) on a geometry-optimized CaEuCu structure.

Computed properties:
- Theoretical density: 4.29 Mg/m³
- Polymorph energy (0 for the lowest one): 99.2 meV/atom
- E_tot: -5.4077 eV/atom

```
CaEuCu
1.0
4.3286 0.0000 0.0000
-2.1643 3.7487 0.0000
0.0000 0.0000 6.0941
Ca Eu Cu
1 1 1
Direct
0.0000 0.0000 0.0000
0.6667 0.3333 0.4987
0.3333 0.6667 0.2372
```

=====

(11)
VASP calculation (PBE) on a geometry-optimized Li3PuHf2S6 structure.

Computed properties:
- Theoretical density: 6.06 Mg/m³
- E_tot: -6.9098 eV/atom

```
Li3PuHf2S6
1.0
3.2279 -5.5897 0.0000
3.2279 5.5897 0.0000
-2.1679 0.0000 6.1831
Li Pu Hf S
3 1 2 6
Direct
0.0000 0.0000 0.0000
0.3352 0.6648 0.0000
0.6648 0.3352 0.0000
0.5000 0.5000 0.5000
0.1666 0.8334 0.5000
0.8334 0.1666 0.5000
0.0629 0.4171 0.2523
0.2303 0.2303 0.7504
0.4171 0.0629 0.2523
0.5829 0.9371 0.7477
0.7697 0.7697 0.2496
0.9371 0.5829 0.7477
```

=====

(12)
VASP calculation (PBE) on a geometry-optimized NdPaSe2 structure.

Computed properties:
- Theoretical density: 8.72 Mg/m³
- Polymorph energy (0 for the lowest one): 0.0 meV/atom
- E_tot: -6.7705 eV/atom

```
NdPaSe2
1.0
4.0149 0.0000 0.0000
-2.0075 3.4770 0.0000
0.0000 0.0000 14.5431
Nd Pa Se
2 2 4
Direct
0.3333 0.6667 0.2500
0.6667 0.3333 0.7500
0.0000 0.0000 0.0000
0.0000 0.0000 0.5000
0.3333 0.6667 0.6211
0.3333 0.6667 0.8789
0.6667 0.3333 0.1211
0.6667 0.3333 0.3789
```